Compound: NaTlSnAs
Source: Alexandria
Functional: PBE
Structure: relaxed

Cell and atoms, written as CIF:
```
data_NaTlSnAs
_chemical_formula_sum 'Na1 Tl1 Sn1 As1'
_space_group_name_H-M_alt 'P 1'
_space_group_IT_number 1
_space_group_name_Hall 'P 1'
_cell_length_a 5.2533
_cell_length_b 5.2533
_cell_length_c 5.2533
_cell_angle_alpha 60.00
_cell_angle_beta 60.00
_cell_angle_gamma 60.00
loop_
_atom_site_label
_atom_site_type_symbol
_atom_site_fract_x
_atom_site_fract_y
_atom_site_fract_z
Na1 Na 0.0000 0.0000 0.0000
Tl1 Tl 0.2500 0.2500 0.2500
Sn1 Sn 0.5000 0.5000 0.5000
As1 As 0.7500 0.7500 0.7500
```

Computed properties:
polymorph energy (0 for the lowest one): 154 meV/atom
energy of formation from the pure elements: -0.052 eV/f.u.
symmetry: No. 216